w:
Material: YZr3Se
Method: DFT, PBE-GGA
State: relaxed

Values from the calculation:
density of states at the Fermi level: 8.1 states/eV/f.u.

Cell lengths 5.224, 5.224, 5.224 Å; angles 90.00, 90.00, 90.00 degrees
Fractional coordinates of all 5 atoms:
Y 0.000 0.000 0.000
Zr 0.000 0.000 0.500
Zr 0.000 0.500 0.000
Zr 0.500 0.000 0.000
Se 0.500 0.500 0.500

x:
Material: YZr3Se
Method: DFT, PBE-GGA
State: relaxed

Values from the calculation:
density of states at the Fermi level: 7.4 states/eV/f.u.

Cell lengths 5.088, 5.088, 5.088 Å; angles 90.00, 90.00, 90.00 degrees
Fractional coordinates of all 5 atoms:
Y 0.000 0.000 0.000
Zr 0.000 0.500 0.500
Zr 0.500 0.000 0.500
Zr 0.500 0.500 0.000
Se 0.500 0.500 0.500

Preferred: x; penalty for the next structure: 1594 meV per atom.

w:
Material: YZrSe4
Method: DFT, PBE-GGA
State: relaxed

Values from the calculation:
density of states at the Fermi level: 1.2 states/eV/f.u.

Cell lengths 7.892, 7.892, 7.430 Å; angles 113.40, 113.40, 50.80 degrees
Fractional coordinates of all 12 atoms:
Y 0.161 0.839 0.750
Y 0.839 0.161 0.250
Zr 0.000 0.500 0.000
Zr 0.500 0.000 0.500
Se 0.126 0.181 0.650
Se 0.181 0.126 0.150
Se 0.379 0.442 0.086
Se 0.442 0.379 0.586
Se 0.558 0.621 0.414
Se 0.621 0.558 0.914
Se 0.819 0.874 0.850
Se 0.874 0.819 0.350

x:
Material: YZrSe4
Method: DFT, PBE-GGA
State: relaxed

Values from the calculation:
density of states at the Fermi level: 6.0 states/eV/f.u.

Cell lengths 5.773, 5.773, 5.773 Å; angles 60.00, 60.00, 60.00 degrees
Fractional coordinates of all 6 atoms:
Y 0.000 0.000 0.000
Zr 0.750 0.750 0.750
Se 0.375 0.375 0.375
Se 0.375 0.375 0.874
Se 0.375 0.874 0.375
Se 0.874 0.375 0.375

Preferred: w; penalty for the next structure: 1329 meV per atom.

w:
Material: Yb3Se4
Method: DFT, PBE-GGA
State: relaxed

Values from the calculation:
density of states at the Fermi level: 38.5 states/eV/f.u.

Cell lengths 7.072, 7.072, 4.128 Å; angles 90.00, 90.00, 108.65 degrees
Fractional coordinates of all 7 atoms:
Yb 0.000 0.000 0.000
Yb 0.000 0.500 0.500
Yb 0.500 0.000 0.500
Se 0.239 0.239 0.500
Se 0.251 0.749 0.000
Se 0.749 0.251 0.000
Se 0.761 0.761 0.500

x:
Material: Yb3Se4
Method: DFT, PBE-GGA
State: relaxed

Values from the calculation:
density of states at the Fermi level: 37.6 states/eV/f.u.

Cell lengths 13.542, 4.028, 13.583 Å; angles 90.00, 90.00, 90.00 degrees
Fractional coordinates of all 28 atoms:
Yb 0.107 0.250 0.081
Yb 0.131 0.750 0.416
Yb 0.147 0.250 0.704
Yb 0.353 0.750 0.204
Yb 0.369 0.250 0.916
Yb 0.393 0.750 0.581
Yb 0.607 0.250 0.419
Yb 0.631 0.750 0.084
Yb 0.647 0.250 0.796
Yb 0.853 0.750 0.296
Yb 0.869 0.250 0.584
Yb 0.893 0.750 0.919
Se 0.026 0.750 0.612
Se 0.035 0.250 0.881
Se 0.214 0.250 0.267
Se 0.248 0.750 0.020
Se 0.252 0.250 0.520
Se 0.286 0.750 0.767
Se 0.465 0.750 0.381
Se 0.474 0.250 0.112
Se 0.526 0.750 0.888
Se 0.535 0.250 0.619
Se 0.714 0.250 0.233
Se 0.748 0.750 0.480
Se 0.752 0.250 0.980
Se 0.786 0.750 0.733
Se 0.965 0.750 0.119
Se 0.974 0.250 0.388

Preferred: x; penalty for the next structure: 7 meV per atom.

w:
Material: ZnSe4
Method: DFT, PBE-GGA
State: relaxed

Values from the calculation:
density of states at the Fermi level: 4.5 states/eV/f.u.

Cell lengths 4.887, 4.887, 4.887 Å; angles 90.00, 90.00, 90.00 degrees
Fractional coordinates of all 5 atoms:
Zn 0.000 0.000 0.000
Se 0.000 0.000 0.500
Se 0.000 0.500 0.000
Se 0.500 0.000 0.000
Se 0.500 0.500 0.500

x:
Material: ZnSe4
Method: DFT, PBE-GGA
State: relaxed

Values from the calculation:
density of states at the Fermi level: 3.7 states/eV/f.u.

Cell lengths 5.324, 5.324, 5.324 Å; angles 109.47, 109.47, 109.47 degrees
Fractional coordinates of all 5 atoms:
Zn 0.000 0.000 0.000
Se 0.000 0.000 0.500
Se 0.000 0.500 0.000
Se 0.500 0.000 0.000
Se 0.500 0.500 0.500

Preferred: x; penalty for the next structure: 309 meV per atom.